GGA-PBE La12Pr5In2, optimized geometry; uncorrected energy = -4.707 eV per atom; total moment = 0.00 μB per cell; Fermi-level density of states = 25.91 states/eV per cell; ΔE_f = -0.0491 eV per atom
1.0
9.4397 0.0000 0.0000
-4.7198 11.3592 -1.8240
0.0000 -5.4052 7.1202
Pr La In
5 12 2
direct
0.7671 0.5342 0.1118
0.6934 0.3868 0.3669
0.2329 0.4658 0.8882
0.0000 0.0000 0.5000
0.3066 0.6132 0.6331
0.9228 0.8456 0.7378
0.3311 0.2890 0.0476
0.1752 0.7448 0.4242
0.0772 0.1544 0.2622
0.5696 0.7448 0.4242
0.4304 0.2552 0.5758
0.8248 0.2552 0.5758
0.6689 0.7110 0.9524
0.4442 0.8884 0.2172
0.9579 0.2890 0.0476
0.5558 0.1116 0.7828
0.0421 0.7110 0.9524
0.6708 0.0000 0.0000
0.3292 0.0000 0.0000